Record 1
{
  "formula": "TbNbOs",
  "functional": "PBE",
  "state": "relaxed",
  "lattice": [[3.2807, 0.0000, 0.0000], [0.0000, 3.2807, 0.0000], [0.0000, 0.0000, 11.0814]],
  "species": ["Tb", "Tb", "Nb", "Nb", "Os", "Os"],
  "fractional_positions": [[0.0000, 0.0000, 0.0000], [0.5000, 0.5000, 0.5000], [0.0000, 0.0000, 0.6962], [0.5000, 0.5000, 0.1962], [0.0000, 0.0000, 0.3208], [0.5000, 0.5000, 0.8208]],
  "volume_a3_per_atom": 19.878,
  "density_g_cm3": 12.3,
  "delta_e_f_ev_per_fu": -0.1,
  "total_energy_ev_per_cell": -52.0,
  "m_tot_mub_per_atom": 0.0000,
  "crystal_system": "tetragonal",
  "space_group": "I4mm"
}



Record 2
{
  "formula": "TbNb2Os2",
  "functional": "PBE",
  "state": "relaxed",
  "lattice": [[4.4046, 0.0000, 0.0000], [0.0000, 4.4046, 0.0000], [0.0000, 0.0000, 10.6572]],
  "species": ["Tb", "Tb", "Nb", "Nb", "Nb", "Nb", "Os", "Os", "Os", "Os"],
  "fractional_positions": [[0.0000, 0.0000, 0.0000], [0.5000, 0.5000, 0.5000], [0.0000, 0.5000, 0.2500], [0.0000, 0.5000, 0.7500], [0.5000, 0.0000, 0.2500], [0.5000, 0.0000, 0.7500], [0.0000, 0.0000, 0.3816], [0.0000, 0.0000, 0.6184], [0.5000, 0.5000, 0.1184], [0.5000, 0.5000, 0.8816]],
  "volume_a3_per_atom": 20.676,
  "density_g_cm3": 11.6,
  "delta_e_f_ev_per_fu": -1.2,
  "total_energy_ev_per_cell": -96.9,
  "m_tot_mub_per_atom": 0.0000,
  "crystal_system": "tetragonal",
  "space_group": "I4/mmm"
}



Record 3
{
  "formula": "TbNbOs2",
  "functional": "PBE",
  "state": "relaxed",
  "lattice": [[3.2160, 0.0000, 0.0000], [0.0000, 3.2160, 0.0000], [0.0000, 0.0000, 7.0167]],
  "species": ["Tb", "Nb", "Os", "Os"],
  "fractional_positions": [[0.0000, 0.0000, 0.0000], [0.0000, 0.0000, 0.5000], [0.5000, 0.5000, 0.2823], [0.5000, 0.5000, 0.7177]],
  "volume_a3_per_atom": 18.143,
  "density_g_cm3": 14.5,
  "delta_e_f_ev_per_fu": -0.7,
  "total_energy_ev_per_cell": -37.9,
  "m_tot_mub_per_atom": 0.0000,
  "crystal_system": "tetragonal",
  "space_group": "P4/mmm"
}